(1)
First-principles (GGA-PBE) data for a relaxed TbEr2ThSc4 crystal, as listed in Alexandria via LeMat-Bulk.

Computed properties:
mass density	6.77	g/cm3
DFT formation energy	0.0403	eV per atom
total magnetic moment	0.00	μB/f.u.

abc: 4.9333 4.9333 9.1267
angles: 90.00 90.00 90.00
Fractional positions:
1 Tb 0.0000 0.0000 0.0000
2 Er 0.0000 0.0000 0.5000
3 Er 0.5000 0.5000 0.0000
4 Th 0.5000 0.5000 0.5000
5 Sc 0.0000 0.5000 0.2523
6 Sc 0.0000 0.5000 0.7477
7 Sc 0.5000 0.0000 0.2523
8 Sc 0.5000 0.0000 0.7477

=====

(2)
First-principles (GGA-PBE) data for a relaxed Tb6Er2ThSc3 crystal, as listed in Alexandria via LeMat-Bulk.

Computed properties:
mass density	7.67	g/cm3
DFT formation energy	0.0536	eV per atom
total magnetic moment	0.00	μB/f.u.

abc: 6.0534 6.0534 11.4723
angles: 95.05 95.05 119.99
Fractional positions:
1 Tb 0.0861 0.4171 0.7580
2 Tb 0.2449 0.2449 0.2421
3 Tb 0.4171 0.0861 0.7580
4 Tb 0.5829 0.9139 0.2420
5 Tb 0.7551 0.7551 0.7579
6 Tb 0.9139 0.5829 0.2420
7 Er 0.3333 0.6667 0.5000
8 Er 0.6667 0.3333 0.5000
9 Th 0.0000 0.0000 0.5000
10 Sc 0.1669 0.8331 0.0000
11 Sc 0.5000 0.5000 0.0000
12 Sc 0.8331 0.1669 0.0000

=====

(3)
First-principles (GGA-PBE) data for a relaxed TbErThSc crystal, as listed in Alexandria via LeMat-Bulk.

Computed properties:
mass density	8.36	g/cm3
DFT formation energy	0.1044	eV per atom
total magnetic moment	0.00	μB/f.u.

abc: 5.5339 5.5339 5.5339
angles: 60.00 60.00 60.00
Fractional positions:
1 Tb 0.0000 0.0000 0.0000
2 Er 0.7500 0.7500 0.7500
3 Th 0.5000 0.5000 0.5000
4 Sc 0.2500 0.2500 0.2500

=====

(4)
First-principles (GGA-PBE) data for a relaxed Tb5ErThSc2 crystal, as listed in Alexandria via LeMat-Bulk.

Computed properties:
mass density	7.58	g/cm3
DFT formation energy	0.1733	eV per atom
total magnetic moment	0.00	μB/f.u.

abc: 11.0268 11.0268 9.4060
angles: 90.00 90.00 150.54
Fractional positions:
1 Tb 0.0099 0.9901 0.5000
2 Tb 0.2663 0.7337 0.8190
3 Tb 0.3044 0.6956 0.2018
4 Tb 0.3902 0.6098 0.5318
5 Tb 0.4688 0.5312 0.2344
6 Tb 0.5312 0.4688 0.7344
7 Tb 0.6098 0.3902 0.0318
8 Tb 0.6956 0.3044 0.7018
9 Tb 0.7337 0.2663 0.3190
10 Tb 0.9901 0.0099 0.0000
11 Er 0.4029 0.5971 0.9094
12 Er 0.5971 0.4029 0.4094
13 Th 0.1837 0.8163 0.5101
14 Th 0.8163 0.1837 0.0101
15 Sc 0.1133 0.8867 0.8106
16 Sc 0.1334 0.8666 0.1960
17 Sc 0.8666 0.1334 0.6960
18 Sc 0.8867 0.1133 0.3106

=====

(5)
First-principles (GGA-PBE) data for a relaxed Tb3Er6ThSc2 crystal, as listed in Alexandria via LeMat-Bulk.

Computed properties:
mass density	8.33	g/cm3
DFT formation energy	0.0355	eV per atom
total magnetic moment	0.00	μB/f.u.

abc: 6.0239 6.0239 11.6086
angles: 94.97 94.97 120.00
Fractional positions:
1 Tb 0.0000 0.0000 0.0000
2 Tb 0.3325 0.6675 0.0000
3 Tb 0.6675 0.3325 0.0000
4 Er 0.0850 0.4177 0.2545
5 Er 0.2494 0.2494 0.7454
6 Er 0.4177 0.0850 0.2545
7 Er 0.5823 0.9150 0.7455
8 Er 0.7506 0.7506 0.2546
9 Er 0.9150 0.5823 0.7455
10 Th 0.5000 0.5000 0.5000
11 Sc 0.1669 0.8331 0.5000
12 Sc 0.8331 0.1669 0.5000

=====

(6)
First-principles (GGA-PBE) data for a relaxed TbEr2ThSc crystal, as listed in Alexandria via LeMat-Bulk.

Computed properties:
mass density	8.44	g/cm3
DFT formation energy	0.0406	eV per atom
total magnetic moment	0.00	μB/f.u.

abc: 6.1205 5.6220 9.3216
angles: 90.00 109.06 90.00
Fractional positions:
1 Tb 0.2355 0.2500 0.3073
2 Tb 0.7645 0.7500 0.6927
3 Er 0.0377 0.2500 0.8976
4 Er 0.4223 0.2500 0.6963
5 Er 0.5777 0.7500 0.3037
6 Er 0.9623 0.7500 0.1024
7 Th 0.3715 0.7500 0.9008
8 Th 0.6285 0.2500 0.0992
9 Sc 0.1648 0.7500 0.5062
10 Sc 0.8352 0.2500 0.4938

=====

(7)
First-principles (GGA-PBE) data for a relaxed Tb6Er2ThSc crystal, as listed in Alexandria via LeMat-Bulk.

Computed properties:
mass density	8.25	g/cm3
DFT formation energy	0.1473	eV per atom
total magnetic moment	0.00	μB/f.u.

abc: 9.0687 9.0687 8.6705
angles: 90.69 90.69 117.93
Fractional positions:
1 Tb 0.0394 0.4510 0.7888
2 Tb 0.1385 0.7942 0.5535
3 Tb 0.2058 0.8615 0.9465
4 Tb 0.2661 0.5193 0.4071
5 Tb 0.4510 0.0394 0.2888
6 Tb 0.4807 0.7339 0.0929
7 Tb 0.5193 0.2661 0.9071
8 Tb 0.5490 0.9606 0.7112
9 Tb 0.7339 0.4807 0.5929
10 Tb 0.7942 0.1385 0.0535
11 Tb 0.8615 0.2058 0.4465
12 Tb 0.9606 0.5490 0.2112
13 Er 0.2107 0.3243 0.0588
14 Er 0.3243 0.2107 0.5588
15 Er 0.6757 0.7893 0.4412
16 Er 0.7893 0.6757 0.9412
17 Th 0.0322 0.9678 0.2500
18 Th 0.9678 0.0322 0.7500
19 Sc 0.4401 0.5599 0.7500
20 Sc 0.5599 0.4401 0.2500

=====

(8)
First-principles (GGA-PBE) data for a relaxed Tb4Er2ThSc crystal, as listed in Alexandria via LeMat-Bulk.

Computed properties:
mass density	8.39	g/cm3
DFT formation energy	0.1505	eV per atom
total magnetic moment	0.00	μB/f.u.

abc: 5.8236 5.8236 7.2825
angles: 90.00 90.00 90.00
Fractional positions:
1 Tb 0.0000 0.5000 0.2418
2 Tb 0.0000 0.5000 0.7582
3 Tb 0.5000 0.0000 0.2418
4 Tb 0.5000 0.0000 0.7582
5 Er 0.0000 0.0000 0.0000
6 Er 0.5000 0.5000 0.5000
7 Th 0.0000 0.0000 0.5000
8 Sc 0.5000 0.5000 0.0000

=====

(9)
First-principles (GGA-PBE) data for a relaxed TbErScTi crystal, as listed in Alexandria via LeMat-Bulk.

Computed properties:
mass density	6.72	g/cm3
DFT formation energy	0.2152	eV per atom
total magnetic moment	2.58	μB/f.u.

abc: 5.2708 5.2708 5.2708
angles: 60.00 60.00 60.00
Fractional positions:
1 Tb 0.0000 0.0000 0.0000
2 Er 0.5000 0.5000 0.5000
3 Sc 0.7500 0.7500 0.7500
4 Ti 0.2500 0.2500 0.2500

=====

(10)
First-principles (GGA-PBE) data for a relaxed TbErScTl crystal, as listed in Alexandria via LeMat-Bulk.

Computed properties:
mass density	8.97	g/cm3
DFT formation energy	-0.1732	eV per atom
total magnetic moment	1.11	μB/f.u.

abc: 4.7174 4.7414 4.7658
angles: 90.00 90.00 90.00
Fractional positions:
1 Tb 0.0000 0.0000 0.0000
2 Er 0.0000 0.5000 0.5000
3 Sc 0.5000 0.5000 0.0000
4 Tl 0.5000 0.0000 0.5000

=====

(11)
First-principles (GGA-PBE) data for a relaxed TbErScTl crystal, as listed in Alexandria via LeMat-Bulk.

Computed properties:
mass density	8.81	g/cm3
DFT formation energy	-0.0518	eV per atom
total magnetic moment	1.36	μB/f.u.

abc: 5.3542 5.3542 5.3542
angles: 60.00 60.00 60.00
Fractional positions:
1 Tb 0.0000 0.0000 0.0000
2 Er 0.5000 0.5000 0.5000
3 Sc 0.2500 0.2500 0.2500
4 Tl 0.7500 0.7500 0.7500

=====

(12)
First-principles (GGA-PBE) data for a relaxed Tb2ErScTl4 crystal, as listed in Alexandria via LeMat-Bulk.

Computed properties:
mass density	10.59	g/cm3
DFT formation energy	-0.3111	eV per atom
total magnetic moment	0.00	μB/f.u.

abc: 9.2081 9.2081 9.2081
angles: 33.45 33.45 33.45
Fractional positions:
1 Tb 0.2489 0.2489 0.2489
2 Tb 0.7511 0.7511 0.7511
3 Er 0.0000 0.0000 0.0000
4 Sc 0.5000 0.5000 0.5000
5 Tl 0.1261 0.1261 0.1261
6 Tl 0.3763 0.3763 0.3763
7 Tl 0.6237 0.6237 0.6237
8 Tl 0.8739 0.8739 0.8739